No. 1
DFT (PBE) results for BaCdTeO after structural relaxation.

a b c (Å): 7.992 8.181 14.161
angles (deg): 90.00 90.00 90.00
Positions (direct):
Ba 0.115 0.069 0.213
Ba 0.115 0.431 0.713
Ba 0.385 0.569 0.213
Ba 0.385 0.931 0.713
Ba 0.615 0.069 0.287
Ba 0.615 0.431 0.787
Ba 0.885 0.569 0.287
Ba 0.885 0.931 0.787
Cd 0.050 0.713 0.056
Cd 0.050 0.787 0.556
Cd 0.450 0.213 0.056
Cd 0.450 0.287 0.556
Cd 0.550 0.713 0.444
Cd 0.550 0.787 0.944
Cd 0.950 0.213 0.444
Cd 0.950 0.287 0.944
Te 0.240 0.544 0.460
Te 0.240 0.956 0.960
Te 0.260 0.044 0.460
Te 0.260 0.456 0.960
Te 0.740 0.544 0.040
Te 0.740 0.956 0.540
Te 0.760 0.044 0.040
Te 0.760 0.456 0.540
O 0.114 0.740 0.205
O 0.114 0.760 0.705
O 0.386 0.240 0.205
O 0.386 0.260 0.705
O 0.614 0.740 0.295
O 0.614 0.760 0.795
O 0.886 0.240 0.295
O 0.886 0.260 0.795

Results
- Total energy: -133.66 eV for the cell shown

---

No. 2
DFT (PBE) results for YBeTlCu after structural relaxation.

a b c (Å): 4.738 4.738 4.738
angles (deg): 60.00 60.00 60.00
Positions (direct):
Y 0.000 0.000 0.000
Be 0.750 0.750 0.750
Tl 0.250 0.250 0.250
Cu 0.500 0.500 0.500

Results
- Energy above the most stable polymorph in this dataset: 0.149 eV per atom
- Total energy: -15.58 eV for the cell shown

---

No. 3
DFT (PBE) results for LiNbInIr after structural relaxation.

a b c (Å): 4.530 4.530 4.530
angles (deg): 60.00 60.00 60.00
Positions (direct):
Li 0.000 0.000 0.000
Nb 0.500 0.500 0.500
In 0.250 0.250 0.250
Ir 0.750 0.750 0.750

Results
- Energy above the most stable polymorph in this dataset: 0.220 eV per atom
- Total energy: -24.39 eV for the cell shown

---

No. 4
DFT (PBE) results for PrHf2As3 after structural relaxation.

a b c (Å): 3.968 3.968 9.781
angles (deg): 90.00 90.00 120.00
Positions (direct):
Pr 0.000 0.000 0.000
Hf 0.333 0.667 0.347
Hf 0.667 0.333 0.653
As 0.000 0.000 0.500
As 0.333 0.667 0.805
As 0.667 0.333 0.195

Results
- Total energy: -45.38 eV for the cell shown

---

No. 5
DFT (PBE) results for Hf4Ni2Ir after structural relaxation.

a b c (Å): 3.408 3.408 14.181
angles (deg): 90.00 90.00 120.00
Positions (direct):
Hf 0.333 0.667 0.376
Hf 0.333 0.667 0.914
Hf 0.667 0.333 0.086
Hf 0.667 0.333 0.624
Ni 0.333 0.667 0.198
Ni 0.667 0.333 0.802
Ir 0.000 0.000 0.500

Results
- Total energy: -59.28 eV for the cell shown

---

No. 6
DFT (PBE) results for SiHg2GeAs4 after structural relaxation.

a b c (Å): 7.102 7.102 7.102
angles (deg): 129.82 129.82 73.70
Positions (direct):
Si 0.000 0.000 0.000
Hg 0.500 0.500 0.000
Hg 0.750 0.250 0.500
Ge 0.250 0.750 0.500
As 0.122 0.661 0.026
As 0.339 0.365 0.461
As 0.635 0.095 0.974
As 0.905 0.878 0.539

Results
- Total energy: -29.15 eV for the cell shown

---

No. 7
DFT (PBE) results for RbDyO2 after structural relaxation.

a b c (Å): 6.789 6.789 6.789
angles (deg): 29.69 29.69 29.69
Positions (direct):
Rb 0.000 0.000 0.000
Dy 0.500 0.500 0.500
O 0.226 0.226 0.226
O 0.774 0.774 0.774

Results
- Total energy: -26.26 eV for the cell shown

---

No. 8
DFT (PBE) results for ZnAsIrO after structural relaxation.

a b c (Å): 3.538 3.538 9.155
angles (deg): 90.00 90.00 90.00
Positions (direct):
Zn 0.250 0.750 0.000
Zn 0.750 0.250 0.000
As 0.250 0.250 0.236
As 0.750 0.750 0.764
Ir 0.250 0.250 0.642
Ir 0.750 0.750 0.358
O 0.250 0.750 0.500
O 0.750 0.250 0.500

Results
- Energy above the most stable polymorph in this dataset: 0.949 eV per atom
- Total energy: -37.22 eV for the cell shown

---

No. 9
DFT (PBE) results for RbFeSn after structural relaxation.

a b c (Å): 4.816 4.816 4.816
angles (deg): 60.00 60.00 60.00
Positions (direct):
Rb 0.000 0.000 0.000
Fe 0.250 0.250 0.250
Sn 0.500 0.500 0.500

Results
- Energy above the most stable polymorph in this dataset: 0.000 eV per atom
- Total energy: -10.41 eV for the cell shown

---

No. 10
DFT (PBE) results for GdTlB after structural relaxation.

a b c (Å): 4.652 4.652 4.652
angles (deg): 60.00 60.00 60.00
Positions (direct):
Gd 0.000 0.000 0.000
Tl 0.750 0.750 0.750
B 0.500 0.500 0.500

Results
- Energy above the most stable polymorph in this dataset: 0.713 eV per atom
- Total energy: -10.89 eV for the cell shown

---

No. 11
DFT (PBE) results for LaZrGa2Ni4 after structural relaxation.

a b c (Å): 4.144 4.144 8.766
angles (deg): 90.00 90.00 120.00
Positions (direct):
La 0.000 0.000 0.000
Zr 0.333 0.667 0.500
Ga 0.667 0.333 0.275
Ga 0.667 0.333 0.725
Ni 0.000 0.000 0.344
Ni 0.000 0.000 0.656
Ni 0.333 0.667 0.203
Ni 0.333 0.667 0.797

Results
- Total energy: -45.98 eV for the cell shown

---

No. 12
DFT (PBE) results for Ho3Te5Os after structural relaxation.

a b c (Å): 8.398 8.398 4.274
angles (deg): 90.00 90.00 120.00
Positions (direct):
Ho 0.000 0.260 0.000
Ho 0.260 0.000 0.000
Ho 0.740 0.740 0.000
Te 0.000 0.688 0.500
Te 0.312 0.312 0.500
Te 0.333 0.667 0.000
Te 0.667 0.333 0.000
Te 0.688 0.000 0.500
Os 0.000 0.000 0.500

Results
- Energy above the most stable polymorph in this dataset: 0.000 eV per atom
- Total energy: -47.12 eV for the cell shown

---

No. 13
DFT (PBE) results for Li8CdAu2 after structural relaxation.

a b c (Å): 4.415 4.415 10.553
angles (deg): 102.26 102.26 59.99
Positions (direct):
Li 0.093 0.093 0.279
Li 0.180 0.180 0.542
Li 0.269 0.269 0.808
Li 0.367 0.367 0.100
Li 0.633 0.633 0.900
Li 0.731 0.731 0.192
Li 0.820 0.820 0.458
Li 0.907 0.907 0.721
Cd 0.000 0.000 0.000
Au 0.453 0.453 0.360
Au 0.547 0.547 0.640

Results
- Total energy: -26.27 eV for the cell shown

---

No. 14
DFT (PBE) results for Cs2AgPbF6 after structural relaxation.

a b c (Å): 6.448 6.448 11.171
angles (deg): 90.00 125.02 90.00
Positions (direct):
Cs 0.249 0.002 0.250
Cs 0.249 0.498 0.750
Cs 0.751 0.502 0.250
Cs 0.751 0.998 0.750
Ag 0.000 0.000 0.500
Ag 0.000 0.500 0.000
Pb 0.500 0.000 0.000
Pb 0.500 0.500 0.500
F 0.233 0.243 0.993
F 0.233 0.257 0.493
F 0.251 0.739 0.994
F 0.251 0.761 0.494
F 0.262 0.000 0.749
F 0.262 0.500 0.249
F 0.738 0.000 0.251
F 0.738 0.500 0.751
F 0.749 0.239 0.506
F 0.749 0.261 0.006
F 0.767 0.743 0.507
F 0.767 0.757 0.007

Results
- Energy above the most stable polymorph in this dataset: 0.000 eV per atom
- Total energy: -82.91 eV for the cell shown

---

No. 15
DFT (PBE) results for Ho4Cu3Pt after structural relaxation.

a b c (Å): 5.407 4.456 7.057
angles (deg): 90.00 90.03 90.00
Positions (direct):
Ho 0.000 0.000 0.000
Ho 0.223 0.000 0.491
Ho 0.500 0.500 0.131
Ho 0.730 0.500 0.630
Cu 0.239 0.500 0.779
Cu 0.490 0.000 0.844
Cu 0.721 0.000 0.353
Pt 0.003 0.500 0.276

Results
- Total energy: -39.94 eV for the cell shown

---

No. 16
DFT (PBE) results for HfHgTe after structural relaxation.

a b c (Å): 4.863 4.863 4.863
angles (deg): 60.00 60.00 60.00
Positions (direct):
Hf 0.000 0.000 0.000
Hg 0.750 0.750 0.750
Te 0.250 0.250 0.250

Results
- Energy above the most stable polymorph in this dataset: 0.000 eV per atom
- Total energy: -13.20 eV for the cell shown

---

No. 17
DFT (PBE) results for NbC2 after structural relaxation.

a b c (Å): 3.655 3.655 3.655
angles (deg): 60.00 60.00 60.00
Positions (direct):
Nb 0.000 0.000 0.000
C 0.250 0.250 0.250
C 0.750 0.750 0.750

Results
- Energy above the most stable polymorph in this dataset: 0.000 eV per atom
- Total energy: -24.00 eV for the cell shown

---

No. 18
DFT (PBE) results for TaSnAsO after structural relaxation.

a b c (Å): 4.062 4.062 9.897
angles (deg): 90.00 90.00 90.00
Positions (direct):
Ta 0.250 0.750 0.000
Ta 0.750 0.250 0.000
Sn 0.250 0.250 0.391
Sn 0.750 0.750 0.609
As 0.250 0.250 0.834
As 0.750 0.750 0.166
O 0.250 0.750 0.500
O 0.750 0.250 0.500

Results
- Energy above the most stable polymorph in this dataset: 0.429 eV per atom
- Total energy: -55.05 eV for the cell shown

---

No. 19
DFT (PBE) results for YNbPb2 after structural relaxation.

a b c (Å): 5.271 5.271 5.271
angles (deg): 60.00 60.00 60.00
Positions (direct):
Y 0.000 0.000 0.000
Nb 0.250 0.250 0.250
Pb 0.500 0.500 0.500
Pb 0.750 0.750 0.750

Results
- Total energy: -22.35 eV for the cell shown

---

No. 20
DFT (PBE) results for Nd3SeO6 after structural relaxation.

a b c (Å): 6.101 6.101 6.101
angles (deg): 117.78 117.78 93.88
Positions (direct):
Nd 0.000 0.000 0.000
Nd 0.250 0.750 0.500
Nd 0.750 0.250 0.500
Se 0.500 0.500 0.000
O 0.184 0.500 0.684
O 0.255 0.255 0.000
O 0.500 0.184 0.684
O 0.500 0.816 0.316
O 0.745 0.745 0.000
O 0.816 0.500 0.316

Results
- Total energy: -65.66 eV for the cell shown